1.
CsCeSiS4 | SCAN | single point on PBEsol structure

Properties
The calculation puts the total moment at 1.00 μB/f.u. Its uncorrected formation energy is -1.65 eV/atom. For the mass density, the calculation gives 3.828 g/cm3.

abc: 6.3525 6.5932 17.7867
angles: 90.00 90.00 90.00
Fractional coordinates of all 28 atoms:
Cs  0.5098  0.2500  0.2164
Cs  0.9902  0.2500  0.7164
Cs  0.4902  0.7500  0.7836
Cs  0.0098  0.7500  0.2836
Ce  0.7066  0.2500  0.4782
Ce  0.7934  0.2500  0.9782
Ce  0.2934  0.7500  0.5218
Ce  0.2066  0.7500  0.0218
Si  0.2128  0.2500  0.4127
Si  0.2872  0.2500  0.9127
Si  0.7872  0.7500  0.5873
Si  0.7128  0.7500  0.0873
S  0.9456  0.2500  0.3432
S  0.5544  0.2500  0.8432
S  0.0544  0.7500  0.6568
S  0.4457  0.7500  0.1568
S  0.3665  0.2500  0.0291
S  0.1335  0.2500  0.5291
S  0.6335  0.7500  0.9709
S  0.8665  0.7500  0.4709
S  0.4136  0.5038  0.3946
S  0.0864  0.9962  0.8946
S  0.5864  0.0038  0.6054
S  0.9136  0.4962  0.1054
S  0.5864  0.4962  0.6054
S  0.9136  0.0038  0.1054
S  0.4136  0.9962  0.3946
S  0.0864  0.5038  0.8946

=====

2.
BaIn4 | SCAN | single point on PBEsol structure

Properties
The calculation puts the total moment at 0.00 μB/f.u. For the mass density, the calculation gives 6.806 g/cm3. The calculation puts the total energy at -35.13 eV/atom.

abc: 4.9313 4.9313 6.9269
angles: 110.85 110.85 90.00
Fractional coordinates of all 5 atoms:
Ba  0.0000  0.0000  0.0000
In  0.2500  0.7500  0.5000
In  0.3834  0.3834  0.7667
In  0.6166  0.6166  0.2333
In  0.7500  0.2500  0.5000

=====

3.
CrGa3Te | SCAN | single point on PBEsol structure

Properties
The calculation puts the total moment at 4.62 μB/f.u. Its uncorrected formation energy is 0.32 eV/atom. For the mass density, the calculation gives 5.722 g/cm3.

abc: 4.8321 4.8321 4.8321
angles: 90.00 90.00 90.00
Fractional coordinates of all 5 atoms:
Cr  0.0000  0.0000  0.0000
Te  0.5000  0.5000  0.5000
Ga  0.0000  0.5000  0.0000
Ga  0.0000  0.0000  0.5000
Ga  0.5000  0.0000  0.0000